#w
## Hg2RhF (PBE)

Data for crystalline Hg2RhF at its relaxed geometry.

Lattice parameters (Å, degrees): 4.6141 4.6141 4.6141 60.00 60.00 60.00
With the nearest neighbours (Å) after each atom.
Fractional coordinates of all 4 atoms:
Hg (0.2500, 0.2500, 0.2500)  4 F 2.83, 4 Rh 2.83
Hg (0.7500, 0.7500, 0.7500)  4 F 2.83, 4 Rh 2.83
Rh (0.5000, 0.5000, 0.5000)  8 Hg 2.83
F (0.0000, 0.0000, 0.0000)  8 Hg 2.83

Properties
V: 17.37 A^3/atom
space-group type: Fm-3m, No. 225

#x
## Hg2RhF (PBE)

Data for crystalline Hg2RhF at its relaxed geometry.

Lattice parameters (Å, degrees): 7.1421 7.1421 5.8275 52.21 52.21 90.00
With the nearest neighbours (Å) after each atom.
Fractional coordinates of all 8 atoms:
Hg (0.3750, 0.4009, 0.7500)  2 F 2.51, 2 Rh 2.76
Hg (0.8750, 0.8491, 0.7500)  2 F 2.51, 2 Rh 2.76
Hg (0.1509, 0.6250, 0.2500)  2 F 2.51, 2 Rh 2.76
Hg (0.5991, 0.1250, 0.2500)  2 F 2.51, 2 Rh 2.76
Rh (0.7500, 0.2500, 0.5000)  4 Hg 2.76, 2 F 2.91
Rh (0.0000, 0.0000, 0.0000)  4 Hg 2.76, 2 F 2.91
F (0.5000, 0.5000, 0.0000)  4 Hg 2.51
F (0.2500, 0.7500, 0.5000)  4 Hg 2.51

Properties
V: 18.54 A^3/atom
space-group type: I-42d, No. 122

What is the most stable structure shown above? It is #w.